Entry from the Alexandria database: a relaxed TaMnCo2 crystal (GGA-PBE).

Calculated values
The excess energy over the best structure of this formula in the dataset is 56.9 meV/atom. For the total magnetic moment, the calculation gives 4.09 Bohr magnetons per cell. The formation enthalpy at 0 K comes out at -0.37 eV per formula unit. The density of states at the Fermi level is 4.405 states/eV/cell. Its crystal system is tetragonal.

abc: 4.721 4.721 4.721
angles: 135.17 135.25 65.21
Last column: magnetic moment on the atom in μB.
Sites, in units of the cell vectors:
Co: 0.000 0.000 0.000  0.85
Co: 0.750 0.250 0.500  0.77
Mn: 0.500 0.500 0.000  2.74
Ta: 0.250 0.750 0.500  -0.26